Record 1
Entry from Alexandria: a relaxed Tb6Y2Zn crystal (PBE).

Geometry as POSCAR:
```
Tb6Y2Zn
1.0
10.0124 0.0000 0.0000
0.0000 10.1091 0.0000
0.0000 0.0000 5.3773
Tb Y Zn
12 4 2
direct
0.0363 0.1858 0.0000
0.1250 0.6176 0.5000
0.1851 0.9498 0.5000
0.3149 0.4498 0.0000
0.3750 0.1176 0.0000
0.4637 0.6858 0.5000
0.5363 0.3142 0.5000
0.6250 0.8824 0.0000
0.6851 0.5502 0.0000
0.8149 0.0502 0.5000
0.8750 0.3824 0.5000
0.9637 0.8142 0.0000
0.2099 0.2765 0.5000
0.2901 0.7765 0.0000
0.7099 0.2235 0.0000
0.7901 0.7235 0.5000
0.0000 0.5000 0.0000
0.5000 0.0000 0.5000
```

Computed properties:
Space group: Pnnm, No. 58
Total DFT energy (no corrections): -83.44 eV for the cell shown


Record 2
Entry from Alexandria: a relaxed Tb3Y4Zn crystal (PBE).

Geometry as POSCAR:
```
Tb3Y4Zn
1.0
3.5667 0.0000 0.0000
0.0000 3.5667 0.0000
0.0000 0.0000 18.8293
Tb Y Zn
3 4 1
direct
0.0000 0.0000 0.0000
0.0000 0.0000 0.2682
0.0000 0.0000 0.7318
0.5000 0.5000 0.1348
0.5000 0.5000 0.4052
0.5000 0.5000 0.5948
0.5000 0.5000 0.8652
0.0000 0.0000 0.5000
```

Computed properties:
Space group: P4/mmm, No. 123
Total DFT energy (no corrections): -41.60 eV for the cell shown